A geometry-optimized Zn3Ni4 structure, computed with GGA-PBE.

Calculated values
Crystal system: hexagonal
Energy above the most stable polymorph in this dataset, eV per formula unit: 2.077
Raw total energy, eV/atom: -3.746
DFT formation energy, eV/atom: 0.10
Space group: P6/mmm (191)

Cell lengths 4.736, 4.736, 4.502 Å; angles 90.00, 90.00, 120.00 degrees
Positions (direct):
Ni 0.000 0.000 0.256
Ni 0.000 0.000 0.744
Ni 0.333 0.667 0.500
Ni 0.667 0.333 0.500
Zn 0.000 0.500 0.000
Zn 0.500 0.500 0.000
Zn 0.500 0.000 0.000



A geometry-optimized AcCeNdSc structure, computed with GGA-PBE.

Calculated values
Crystal system: cubic
Raw total energy, eV/atom: -5.059
DFT formation energy, eV/atom: 0.23
Space group: F-43m (216)

Cell lengths 5.755, 5.755, 5.755 Å; angles 60.00, 60.00, 60.00 degrees
Positions (direct):
Sc 0.500 0.500 0.500
Ac 0.750 0.750 0.750
Ce 0.000 0.000 0.000
Nd 0.250 0.250 0.250



A geometry-optimized PmZrSnAu structure, computed with GGA-PBE.

Calculated values
Crystal system: cubic
Raw total energy, eV/atom: -5.637
DFT formation energy, eV/atom: -0.49
Space group: F-43m (216)

Cell lengths 5.143, 5.143, 5.143 Å; angles 60.00, 60.00, 60.00 degrees
Positions (direct):
Pm 0.000 0.000 0.000
Au 0.750 0.750 0.750
Sn 0.250 0.250 0.250
Zr 0.500 0.500 0.500



A geometry-optimized AcPm6Dy12 structure, computed with GGA-PBE.

Calculated values
Crystal system: trigonal
Raw total energy, eV/atom: -4.419
DFT formation energy, eV/atom: 0.20
Space group: R-3m (166)

Cell lengths 8.792, 8.792, 8.792 Å; angles 99.03, 99.03, 99.03 degrees
Positions (direct):
Dy 0.081 0.356 0.356
Dy 0.500 0.758 0.242
Dy 0.644 0.919 0.644
Dy 0.758 0.242 0.500
Dy 0.242 0.758 0.500
Dy 0.356 0.356 0.081
Dy 0.356 0.081 0.356
Dy 0.644 0.644 0.919
Dy 0.500 0.242 0.758
Dy 0.758 0.500 0.242
Dy 0.919 0.644 0.644
Dy 0.242 0.500 0.758
Pm 0.102 0.652 0.102
Pm 0.898 0.898 0.348
Pm 0.102 0.102 0.652
Pm 0.898 0.348 0.898
Pm 0.652 0.102 0.102
Pm 0.348 0.898 0.898
Ac 0.000 0.000 0.000



A geometry-optimized Pu4As3 structure, computed with GGA-PBE.

Calculated values
Crystal system: cubic
Raw total energy, eV/atom: -11.137
DFT formation energy, eV/atom: -0.95
Space group: I-43d (220)

Cell lengths 7.593, 7.593, 7.593 Å; angles 109.47, 109.47, 109.47 degrees
Positions (direct):
As 0.125 0.375 0.250
As 0.625 0.750 0.875
As 0.250 0.875 0.125
As 0.750 0.625 0.375
As 0.375 0.125 0.750
As 0.875 0.250 0.625
Pu 0.353 0.500 0.000
Pu 0.647 0.147 0.147
Pu 0.000 0.000 0.353
Pu 0.853 0.500 0.000
Pu 0.147 0.647 0.647
Pu 0.500 0.853 0.500
Pu 0.000 0.000 0.853
Pu 0.500 0.353 0.500



A geometry-optimized Th2MgSi3Pt4 structure, computed with GGA-PBE.

Calculated values
Crystal system: tetragonal
Raw total energy, eV/atom: -6.745
Formation energy without anion corrections, eV/atom: -1.0582
Space group: P-4m2 (115)

Cell lengths 4.272, 4.272, 10.229 Å; angles 90.00, 90.00, 90.00 degrees
Positions (direct):
Pt 0.500 0.000 0.639
Pt 0.500 0.500 0.000
Pt 0.000 0.500 0.361
Pt 0.000 0.000 0.000
Th 0.000 0.500 0.758
Th 0.500 0.000 0.242
Si 0.000 0.000 0.500
Si 0.500 0.000 0.873
Si 0.000 0.500 0.127
Mg 0.500 0.500 0.500



A geometry-optimized KBe2Sb2O7 structure, computed with GGA-PBE.

Calculated values
Crystal system: trigonal
Raw total energy, eV/atom: -5.783
Formation energy without anion corrections, eV/atom: -1.4916
Space group: R32 (155)

Cell lengths 5.303, 5.303, 8.753 Å; angles 72.37, 72.37, 60.00 degrees
Positions (direct):
O 0.948 0.604 0.269
O 0.000 0.000 0.000
O 0.052 0.821 0.731
O 0.396 0.052 0.731
O 0.821 0.396 0.731
O 0.604 0.179 0.269
O 0.179 0.948 0.269
Be 0.064 0.064 0.807
Be 0.936 0.936 0.193
Sb 0.273 0.273 0.182
Sb 0.727 0.727 0.818
K 0.500 0.500 0.500



A geometry-optimized La3NiPd structure, computed with GGA-PBE.

Calculated values
Crystal system: monoclinic
Energy above the most stable polymorph in this dataset, eV per formula unit: 0.064
Raw total energy, eV/atom: -5.598
DFT formation energy, eV/atom: -0.45
Space group: P2_1/m (11)

Cell lengths 4.002, 8.433, 8.492 Å; angles 108.03, 90.00, 90.00 degrees
Positions (direct):
La 0.750 0.650 0.395
La 0.250 0.350 0.605
La 0.750 0.319 0.970
La 0.250 0.681 0.030
La 0.750 0.062 0.245
La 0.250 0.938 0.755
Ni 0.250 0.926 0.416
Ni 0.750 0.074 0.584
Pd 0.750 0.646 0.755
Pd 0.250 0.354 0.245



A geometry-optimized LaCo2W2 structure, computed with GGA-PBE.

Calculated values
Crystal system: tetragonal
Energy above the most stable polymorph in this dataset, eV per formula unit: 0.000
Raw total energy, eV/atom: -8.797
DFT formation energy, eV/atom: 0.21
Space group: I4/mmm (139)

Cell lengths 4.132, 4.132, 6.064 Å; angles 70.08, 70.08, 90.00 degrees
Positions (direct):
Co 0.623 0.623 0.753
Co 0.377 0.377 0.247
W 0.750 0.250 0.500
W 0.250 0.750 0.500
La 0.000 0.000 0.000



A geometry-optimized Pu2CoAg structure, computed with GGA-PBE.

Calculated values
Crystal system: tetragonal
Energy above the most stable polymorph in this dataset, eV per formula unit: 0.000
Raw total energy, eV/atom: -9.620
DFT formation energy, eV/atom: 0.04
Space group: P4/mmm (123)

Cell lengths 3.200, 3.200, 8.115 Å; angles 90.00, 90.00, 90.00 degrees
Positions (direct):
Pu 0.000 0.000 0.211
Pu 0.000 0.000 0.789
Co 0.500 0.500 0.000
Ag 0.500 0.500 0.500



A geometry-optimized TbY4Er6 structure, computed with GGA-PBE.

Calculated values
Crystal system: tetragonal
Energy above the most stable polymorph in this dataset, eV per formula unit: 0.139
Raw total energy, eV/atom: -4.946
DFT formation energy, eV/atom: 0.31
Space group: I-42m (121)

Cell lengths 6.527, 6.527, 9.707 Å; angles 109.65, 109.65, 90.00 degrees
Positions (direct):
Y 0.685 0.045 0.730
Y 0.955 0.955 0.270
Y 0.315 0.315 0.270
Y 0.045 0.685 0.730
Er 0.500 0.000 0.000
Er 0.515 0.515 0.661
Er 0.146 0.146 0.661
Er 0.485 0.854 0.339
Er 0.854 0.485 0.339
Er 0.000 0.500 0.000
Tb 0.500 0.500 0.000



A geometry-optimized AgH8Ir2 structure, computed with GGA-PBE.

Calculated values
Crystal system: monoclinic
Raw total energy, eV/atom: -4.160
Space group: Cm (8)

Cell lengths 4.501, 5.050, 5.050 Å; angles 110.63, 110.67, 110.67 degrees
Positions (direct):
H 0.549 0.022 0.306
H 0.015 0.932 0.454
H 0.283 0.407 0.407
H 0.434 0.873 0.577
H 0.434 0.577 0.873
H 0.775 0.516 0.516
H 0.015 0.454 0.932
H 0.549 0.306 0.022
Ag 0.896 0.985 0.985
Ir 0.525 0.636 0.259
Ir 0.525 0.259 0.636



A geometry-optimized NbSbSeN2 structure, computed with GGA-PBE.

Calculated values
Crystal system: tetragonal
Energy above the most stable polymorph in this dataset, eV per formula unit: 4.743
Raw total energy, eV/atom: -5.565
Formation energy without anion corrections, eV/atom: 1.3009
Space group: P4/mmm (123)

Cell lengths 4.051, 4.051, 5.302 Å; angles 90.00, 90.00, 90.00 degrees
Positions (direct):
N 0.500 0.000 0.000
N 0.000 0.500 0.000
Nb 0.500 0.500 0.500
Se 0.000 0.000 0.500
Sb 0.000 0.000 0.000



A geometry-optimized Tl2InBr3 structure, computed with GGA-PBE.

Calculated values
Crystal system: trigonal
Energy above the most stable polymorph in this dataset, eV per formula unit: 0.000
Raw total energy, eV/atom: -2.859
Formation energy without anion corrections, eV/atom: -0.7773
Space group: R-3c (167)

Cell lengths 8.029, 8.029, 9.396 Å; angles 64.71, 64.71, 60.00 degrees
Positions (direct):
Br 0.750 0.087 0.750
Br 0.250 0.913 0.250
Br 0.413 0.750 0.750
Br 0.087 0.413 0.750
Br 0.587 0.250 0.250
Br 0.913 0.587 0.250
In 0.500 0.500 0.500
In 0.000 0.000 0.000
Tl 0.167 0.167 0.500
Tl 0.667 0.667 0.000
Tl 0.333 0.333 0.000
Tl 0.833 0.833 0.500



A geometry-optimized HPtOF2 structure, computed with GGA-PBE.

Calculated values
Crystal system: tetragonal
Energy above the most stable polymorph in this dataset, eV per formula unit: 0.000
Raw total energy, eV/atom: -3.761
Space group: P4/mmm (123)

Cell lengths 4.284, 4.284, 3.729 Å; angles 90.00, 90.00, 90.00 degrees
Positions (direct):
O 0.000 0.000 0.500
F 0.500 0.000 0.000
F 0.000 0.500 0.000
H 0.500 0.500 0.500
Pt 0.000 0.000 0.000



A geometry-optimized K2CoPbBr6 structure, computed with GGA-PBE.

Calculated values
Crystal system: triclinic
Raw total energy, eV/atom: -3.321
Formation energy without anion corrections, eV/atom: -1.0160
Space group: P-1 (2)

Cell lengths 7.891, 7.628, 7.793 Å; angles 119.46, 120.12, 91.29 degrees
Positions (direct):
Br 0.794 0.259 0.969
Br 0.850 0.811 0.541
Br 0.324 0.260 0.125
Br 0.149 0.189 0.459
Br 0.206 0.741 0.031
Br 0.676 0.740 0.875
K 0.771 0.276 0.537
K 0.229 0.724 0.463
Pb 0.500 0.500 0.000
Co 0.000 0.000 0.000



A geometry-optimized SmErAlSi structure, computed with GGA-PBE.

Calculated values
Crystal system: orthorhombic
Raw total energy, eV/atom: -5.241
Formation energy without anion corrections, eV/atom: -0.6295
Space group: Amm2 (38)

Cell lengths 4.360, 4.003, 5.883 Å; angles 90.00, 111.75, 90.00 degrees
Positions (direct):
Er 0.861 0.500 0.722
Sm 0.144 0.000 0.288
Al 0.570 0.500 0.140
Si 0.425 0.000 0.850



A geometry-optimized Er5Ru4Rh structure, computed with GGA-PBE.

Calculated values
Crystal system: tetragonal
Raw total energy, eV/atom: -7.237
DFT formation energy, eV/atom: -0.51
Space group: P4/mmm (123)

Cell lengths 3.375, 3.375, 16.871 Å; angles 90.00, 90.00, 90.00 degrees
Positions (direct):
Ru 0.000 0.000 0.801
Ru 0.000 0.000 0.600
Ru 0.000 0.000 0.400
Ru 0.000 0.000 0.199
Er 0.500 0.500 0.301
Er 0.500 0.500 0.897
Er 0.500 0.500 0.500
Er 0.500 0.500 0.699
Er 0.500 0.500 0.103
Rh 0.000 0.000 0.000



A geometry-optimized PmSI structure, computed with GGA-PBE.

Calculated values
Crystal system: orthorhombic
Energy above the most stable polymorph in this dataset, eV per formula unit: 0.204
Raw total energy, eV/atom: -5.208
Formation energy without anion corrections, eV/atom: -1.7318
Space group: Fdd2 (43)

Cell lengths 7.539, 7.539, 8.185 Å; angles 108.92, 108.92, 107.20 degrees
Positions (direct):
I 0.875 0.546 0.256
I 0.796 0.625 0.756
I 0.869 0.040 0.244
I 0.290 0.619 0.744
Pm 0.365 0.216 0.532
Pm 0.684 0.832 0.468
Pm 0.082 0.434 0.968
Pm 0.466 0.115 0.032
S 0.142 0.104 0.737
S 0.655 0.117 0.763
S 0.354 0.892 0.237
S 0.367 0.405 0.263



A geometry-optimized CaAl8Co4 structure, computed with GGA-PBE.

Calculated values
Crystal system: tetragonal
Raw total energy, eV/atom: -5.086
DFT formation energy, eV/atom: -0.44
Space group: I4/mmm (139)

Cell lengths 5.136, 6.559, 6.559 Å; angles 81.18, 66.95, 66.95 degrees
Positions (direct):
Al 0.000 0.338 0.662
Al 0.500 0.774 0.226
Al 0.726 0.774 0.774
Al 0.338 0.662 0.662
Al 0.662 0.338 0.338
Al 0.500 0.226 0.774
Al 0.274 0.226 0.226
Al 0.000 0.662 0.338
Co 0.500 0.500 0.000
Co 0.000 0.000 0.500
Co 0.000 0.500 0.000
Co 0.500 0.000 0.500
Ca 0.000 0.000 0.000



A geometry-optimized Ce3Ga4Ni2 structure, computed with GGA-PBE.

Calculated values
Crystal system: monoclinic
Raw total energy, eV/atom: -5.177
DFT formation energy, eV/atom: -0.57
Space group: C2/m (12)

Cell lengths 4.348, 5.770, 8.368 Å; angles 110.75, 90.00, 112.14 degrees
Positions (direct):
Ce 0.681 0.361 0.640
Ce 0.000 0.000 0.000
Ce 0.319 0.639 0.360
Ga 0.978 0.956 0.643
Ga 0.736 0.472 0.080
Ga 0.264 0.528 0.920
Ga 0.022 0.044 0.357
Ni 0.401 0.802 0.731
Ni 0.599 0.198 0.269



A geometry-optimized Na2ZnAu2 structure, computed with GGA-PBE.

Calculated values
Crystal system: orthorhombic
Energy above the most stable polymorph in this dataset, eV per formula unit: 0.000
Raw total energy, eV/atom: -2.412
DFT formation energy, eV/atom: -0.32
Space group: Immm (71)

Cell lengths 4.414, 5.545, 5.798 Å; angles 118.57, 112.37, 90.00 degrees
Positions (direct):
Au 0.500 0.744 0.000
Au 0.500 0.256 0.000
Na 0.804 0.304 0.607
Na 0.196 0.696 0.393
Zn 0.000 0.000 0.000



A geometry-optimized InCuRh2 structure, computed with GGA-PBE.

Calculated values
Crystal system: trigonal
Raw total energy, eV/atom: -5.323
DFT formation energy, eV/atom: 0.06
Space group: R-3m (166)

Cell lengths 8.468, 8.468, 8.468 Å; angles 20.07, 20.07, 20.07 degrees
Positions (direct):
Rh 0.504 0.504 0.504
Rh 0.996 0.996 0.996
In 0.750 0.750 0.750
Cu 0.250 0.250 0.250



A geometry-optimized LiPuTcRu structure, computed with GGA-PBE.

Calculated values
Crystal system: cubic
Raw total energy, eV/atom: -8.937
DFT formation energy, eV/atom: 0.03
Space group: F-43m (216)

Cell lengths 4.451, 4.451, 4.451 Å; angles 60.00, 60.00, 60.00 degrees
Positions (direct):
Li 0.750 0.750 0.750
Tc 0.000 0.000 0.000
Ru 0.500 0.500 0.500
Pu 0.250 0.250 0.250